Density functional theory data (PBE-GGA) for a relaxed structure of NdDyCd2Hg4.

Summary:
- Symmetry: No. 166
- Energy of formation: -0.39 eV/atom

Geometry as POSCAR:
```
NdDyCd2Hg4
1.0
2.5688 1.4831 8.4259
-2.5688 1.4831 8.4259
0.0000 -2.9662 8.4259
Nd Dy Cd Hg
1 1 2 4
Cartesian
0.0000 0.0000 0.0000 Nd
0.0000 0.0000 12.6389 Dy
0.0000 0.0000 6.3252 Cd
0.0000 0.0000 18.9526 Cd
0.0000 0.0000 3.2209 Hg
0.0000 0.0000 9.5478 Hg
0.0000 0.0000 15.7300 Hg
0.0000 0.0000 22.0569 Hg
```

=====

Density functional theory data (PBE-GGA) for a relaxed structure of ZnTcSN2.

Summary:
- Symmetry: No. 123
- Offset from the most stable computed form: 0 meV per atom
- Formation energy (no corrections): 0.472 eV per atom

Geometry as POSCAR:
```
ZnTcSN2
1.0
3.7854 0.0000 0.0000
0.0000 3.7854 0.0000
0.0000 0.0000 5.2364
Zn Tc S N
1 1 1 2
Cartesian
0.0000 0.0000 0.0000 Zn
1.8927 1.8927 2.6182 Tc
1.8927 1.8927 0.0000 S
0.0000 1.8927 2.6182 N
1.8927 0.0000 2.6182 N
```

=====

Density functional theory data (PBE-GGA) for a relaxed structure of TlFeS2.

Summary:
- Symmetry: No. 122
- Formation energy (no corrections): -0.298 eV per atom

Geometry as POSCAR:
```
TlFeS2
1.0
-3.3232 3.3232 4.0616
3.3232 -3.3232 4.0616
3.3232 3.3232 -4.0616
Tl Fe S
2 2 4
Cartesian
0.0000 0.0000 0.0000 Tl
0.0000 3.3232 2.0308 Tl
3.3232 0.0000 2.0308 Fe
0.0000 0.0000 4.0616 Fe
1.6616 -0.8347 3.0462 S
2.4885 1.6616 1.0154 S
1.6616 4.1579 -1.0154 S
0.8347 1.6616 5.0770 S
```

=====

Density functional theory data (PBE-GGA) for a relaxed structure of Nd4AgI5.

Summary:
- Symmetry: No. 12
- Formation energy (no corrections): -1.005 eV per atom

Geometry as POSCAR:
```
Nd4AgI5
1.0
9.7336 -2.1301 0.0000
9.7336 2.1301 0.0000
-1.8835 0.0000 9.1029
Nd Ag I
4 1 5
Cartesian
-0.3857 0.0000 2.0168 Nd
4.9094 0.0000 8.4476 Nd
12.6742 0.0000 0.6552 Nd
17.9692 0.0000 7.0861 Nd
9.7336 0.0000 0.0000 Ag
2.6481 0.0000 3.0527 I
1.7970 0.0000 7.4118 I
8.7918 0.0000 4.5514 I
15.7865 0.0000 1.6911 I
14.9355 0.0000 6.0501 I
```

=====

Density functional theory data (PBE-GGA) for a relaxed structure of UNi3Ge.

Summary:
- Symmetry: No. 63
- Energy of formation: -0.27 eV/atom
- Offset from the most stable computed form: 0 meV per atom

Geometry as POSCAR:
```
UNi3Ge
1.0
2.6911 -5.8326 0.0000
2.6911 5.8326 0.0000
0.0000 0.0000 4.5580
U Ni Ge
2 6 2
Cartesian
2.6911 5.0521 3.4185 U
2.6911 -5.0521 1.1395 U
1.3788 1.8511 3.4185 Ni
1.3788 -1.8511 1.1395 Ni
2.6911 0.0000 0.0000 Ni
2.6911 0.0000 2.2790 Ni
4.0034 1.8511 3.4185 Ni
4.0034 -1.8511 1.1395 Ni
2.6911 2.1251 1.1395 Ge
2.6911 -2.1251 3.4185 Ge
```

=====

Density functional theory data (PBE-GGA) for a relaxed structure of ZnCd2Ag.

Summary:
- Symmetry: No. 139
- Energy of formation: 0.03 eV/atom

Geometry as POSCAR:
```
ZnCd2Ag
1.0
-2.1472 2.1472 4.1481
2.1472 -2.1472 4.1481
2.1472 2.1472 -4.1481
Zn Cd Ag
1 2 1
Cartesian
0.0000 0.0000 0.0000 Zn
2.1472 0.0000 2.0740 Cd
0.0000 2.1472 2.0740 Cd
0.0000 0.0000 4.1481 Ag
```